Entry 1:
Below is an optimized crystal structure of K3ZnH6, with properties calculated at the GGA-PBE level.

Geometry as CIF:
```
data_K3ZnH6
_chemical_formula_sum 'K6 Zn2 H12'
_space_group_name_H-M_alt 'P 1 21/c 1'
_space_group_IT_number 14
_cell_length_a 7.100
_cell_length_b 6.257
_cell_length_c 8.440
_cell_angle_alpha 90.00
_cell_angle_beta 123.48
_cell_angle_gamma 90.00
loop_
_space_group_symop_operation_xyz
'x,y,z'
'-x,-y,-z'
'-x,y+1/2,-z+1/2'
'x,-y+1/2,z+1/2'
loop_
_atom_site_label
_atom_site_type_symbol
_atom_site_fract_x
_atom_site_fract_y
_atom_site_fract_z
K1 K 0.000 0.000 0.000
K2 K 0.269 0.001 0.749
Zn1 Zn 0.500 0.000 0.500
H1 H 0.164 0.164 0.396
H2 H 0.397 0.718 0.048
H3 H 0.403 0.593 0.784
```

## Properties
Calculated density = 2004 kg/m3
Total magnetization = 0.00 μB/f.u.
E = -2.44 eV per atom
Crystal system = monoclinic

---

Entry 2:
Below is an optimized crystal structure of K3Zn2H8, with properties calculated at the GGA-PBE level.

Geometry as CIF:
```
data_K3Zn2H8
_chemical_formula_sum 'K9 Zn6 H24'
_space_group_name_H-M_alt 'R -3 m'
_space_group_IT_number 166
_space_group_name_Hall '-R 3 2"'
_cell_length_a 5.7138
_cell_length_b 5.7138
_cell_length_c 20.6652
_cell_angle_alpha 90.00
_cell_angle_beta 90.00
_cell_angle_gamma 120.00
loop_
_atom_site_label
_atom_site_type_symbol
_atom_site_fract_x
_atom_site_fract_y
_atom_site_fract_z
K1 K 0.0000 0.0000 0.0000
K2 K 0.0000 0.0000 0.2108
Zn1 Zn 0.0000 0.0000 0.4241
H1 H 0.0000 0.0000 0.3435
H2 H 0.0069 0.5035 0.2289
```

## Properties
Calculated density = 2184 kg/m3
Total magnetization = 0.94 μB/f.u.
E = -2.55 eV per atom
Crystal system = trigonal

---

Entry 3:
Below is an optimized crystal structure of K2ZnH, with properties calculated at the GGA-PBE level.

Geometry as CIF:
```
data_K2ZnH
_chemical_formula_sum 'K8 Zn4 H4'
_space_group_name_H-M_alt 'I -4 2 d'
_space_group_IT_number 122
_space_group_name_Hall 'I -4 2bw'
_cell_length_a 8.238
_cell_length_b 8.238
_cell_length_c 7.919
_cell_angle_alpha 90.00
_cell_angle_beta 90.00
_cell_angle_gamma 90.00
loop_
_atom_site_label
_atom_site_type_symbol
_atom_site_fract_x
_atom_site_fract_y
_atom_site_fract_z
K1 K 0.158 0.250 0.125
Zn1 Zn 0.000 0.000 0.500
H1 H 0.000 0.000 0.000
```

## Properties
Distance to the lowest polymorph of the same formula = 0.0 kJ/mol of atoms
Calculated density = 1788 kg/m3
Total magnetization = 0.49 μB/f.u.
E = -1.57 eV per atom
Crystal system = tetragonal

---

Entry 4:
Below is an optimized crystal structure of K2ZnH4, with properties calculated at the GGA-PBE level.

Geometry as CIF:
```
data_K2ZnH4
_chemical_formula_sum 'K4 Zn2 H8'
_space_group_name_H-M_alt 'P 1 21/m 1'
_space_group_IT_number 11
_cell_length_a 5.801
_cell_length_b 5.763
_cell_length_c 7.860
_cell_angle_alpha 90.00
_cell_angle_beta 105.51
_cell_angle_gamma 90.00
loop_
_space_group_symop_operation_xyz
'x,y,z'
'-x,-y,-z'
'-x,y+1/2,-z'
'x,-y+1/2,z'
loop_
_atom_site_label
_atom_site_type_symbol
_atom_site_fract_x
_atom_site_fract_y
_atom_site_fract_z
K1 K 0.214 0.250 0.027
K2 K 0.286 0.250 0.559
Zn1 Zn 0.205 0.750 0.778
H1 H 0.028 0.520 0.728
H2 H 0.323 0.750 0.997
H3 H 0.412 0.750 0.667
```

## Properties
Calculated density = 1936 kg/m3
Total magnetization = 0.00 μB/f.u.
E = -2.65 eV per atom
Crystal system = monoclinic

---

Entry 5:
Below is an optimized crystal structure of KZnH2, with properties calculated at the GGA-PBE level.

Geometry as CIF:
```
data_KZnH2
_chemical_formula_sum 'K4 Zn4 H8'
_space_group_name_H-M_alt 'I -4 2 d'
_space_group_IT_number 122
_space_group_name_Hall 'I -4 2bw'
_cell_length_a 4.995
_cell_length_b 4.995
_cell_length_c 10.670
_cell_angle_alpha 90.00
_cell_angle_beta 90.00
_cell_angle_gamma 90.00
loop_
_atom_site_label
_atom_site_type_symbol
_atom_site_fract_x
_atom_site_fract_y
_atom_site_fract_z
K1 K 0.000 0.000 0.000
Zn1 Zn 0.000 0.000 0.500
H1 H 0.040 0.250 0.625
```

## Properties
Distance to the lowest polymorph of the same formula = 0.0 kJ/mol of atoms
Calculated density = 2658 kg/m3
Total magnetization = 0.00 μB/f.u.
E = -2.19 eV per atom
Crystal system = tetragonal

---

Entry 6:
Below is an optimized crystal structure of KZnH, with properties calculated at the GGA-PBE level.

Geometry as CIF:
```
data_KZnH
_chemical_formula_sum 'K6 Zn6 H6'
_space_group_name_H-M_alt 'R -3 m'
_space_group_IT_number 166
_space_group_name_Hall '-R 3 2"'
_cell_length_a 4.5832
_cell_length_b 4.5832
_cell_length_c 22.0583
_cell_angle_alpha 90.00
_cell_angle_beta 90.00
_cell_angle_gamma 120.00
loop_
_atom_site_label
_atom_site_type_symbol
_atom_site_fract_x
_atom_site_fract_y
_atom_site_fract_z
K1 K 0.0000 0.0000 0.1022
Zn1 Zn 0.0000 0.0000 0.3168
H1 H 0.0000 0.0000 0.2343
```

## Properties
Calculated density = 2620 kg/m3
Total magnetization = 0.00 μB/f.u.
E = -1.97 eV per atom
Crystal system = trigonal

---

Entry 7:
Below is an optimized crystal structure of KZnH4, with properties calculated at the GGA-PBE level.

Geometry as CIF:
```
data_KZnH4
_chemical_formula_sum 'K4 Zn4 H16'
_space_group_name_H-M_alt 'C 1 2/m 1'
_space_group_IT_number 12
_cell_length_a 12.780
_cell_length_b 5.545
_cell_length_c 4.782
_cell_angle_alpha 90.00
_cell_angle_beta 98.64
_cell_angle_gamma 90.00
loop_
_space_group_symop_operation_xyz
'x,y,z'
'-x,-y,-z'
'-x,y,-z'
'x,-y,z'
'x+1/2,y+1/2,z'
'-x+1/2,-y+1/2,-z'
'-x+1/2,y+1/2,-z'
'x+1/2,-y+1/2,z'
loop_
_atom_site_label
_atom_site_type_symbol
_atom_site_fract_x
_atom_site_fract_y
_atom_site_fract_z
K1 K 0.167 0.000 0.286
Zn1 Zn 0.096 0.500 0.911
H1 H 0.000 0.313 0.000
H2 H 0.105 0.269 0.718
H3 H 0.190 0.500 0.187
```

## Properties
Calculated density = 2152 kg/m3
Total magnetization = 0.00 μB/f.u.
E = -2.55 eV per atom
Crystal system = monoclinic

---

Entry 8:
Below is an optimized crystal structure of KZnH3, with properties calculated at the GGA-PBE level.

Geometry as CIF:
```
data_KZnH3
_chemical_formula_sum 'K2 Zn2 H6'
_space_group_name_H-M_alt 'P 1 21/m 1'
_space_group_IT_number 11
_cell_length_a 3.143
_cell_length_b 6.798
_cell_length_c 6.925
_cell_angle_alpha 90.00
_cell_angle_beta 90.03
_cell_angle_gamma 90.00
loop_
_space_group_symop_operation_xyz
'x,y,z'
'-x,-y,-z'
'-x,y+1/2,-z'
'x,-y+1/2,z'
loop_
_atom_site_label
_atom_site_type_symbol
_atom_site_fract_x
_atom_site_fract_y
_atom_site_fract_z
K1 K 0.248 0.250 0.308
Zn1 Zn 0.253 0.250 0.802
H1 H 0.248 0.750 0.060
H2 H 0.252 0.048 0.678
```

## Properties
Calculated density = 2414 kg/m3
Total magnetization = 0.00 μB/f.u.
E = -2.56 eV per atom
Crystal system = monoclinic

---

Entry 9:
Below is an optimized crystal structure of KZnH2, with properties calculated at the GGA-PBE level.

Geometry as CIF:
```
data_KZnH2
_chemical_formula_sum 'K4 Zn4 H8'
_space_group_name_H-M_alt 'F m -3 m'
_space_group_IT_number 225
_space_group_name_Hall '-F 4 2 3'
_cell_length_a 6.231
_cell_length_b 6.231
_cell_length_c 6.231
_cell_angle_alpha 90.00
_cell_angle_beta 90.00
_cell_angle_gamma 90.00
loop_
_atom_site_label
_atom_site_type_symbol
_atom_site_fract_x
_atom_site_fract_y
_atom_site_fract_z
K1 K 0.000 0.000 0.000
Zn1 Zn 0.000 0.000 0.500
H1 H 0.250 0.250 0.250
```

## Properties
Distance to the lowest polymorph of the same formula = 32.7 kJ/mol of atoms
Calculated density = 2924 kg/m3
Total magnetization = 0.00 μB/f.u.
E = -1.85 eV per atom
Crystal system = cubic

---

Entry 10:
Below is an optimized crystal structure of K2ZnH, with properties calculated at the GGA-PBE level.

Geometry as CIF:
```
data_K2ZnH
_chemical_formula_sum 'K8 Zn4 H4'
_space_group_name_H-M_alt 'F m -3 m'
_space_group_IT_number 225
_space_group_name_Hall '-F 4 2 3'
_cell_length_a 7.950
_cell_length_b 7.950
_cell_length_c 7.950
_cell_angle_alpha 90.00
_cell_angle_beta 90.00
_cell_angle_gamma 90.00
loop_
_atom_site_label
_atom_site_type_symbol
_atom_site_fract_x
_atom_site_fract_y
_atom_site_fract_z
K1 K 0.250 0.250 0.250
Zn1 Zn 0.000 0.000 0.000
H1 H 0.000 0.000 0.500
```

## Properties
Distance to the lowest polymorph of the same formula = 12.9 kJ/mol of atoms
Calculated density = 1912 kg/m3
Total magnetization = 0.00 μB/f.u.
E = -1.44 eV per atom
Crystal system = cubic

---

Entry 11:
Below is an optimized crystal structure of K3Zn5H12, with properties calculated at the GGA-PBE level.

Geometry as CIF:
```
data_K3Zn5H12
_chemical_formula_sum 'K24 Zn40 H96'
_space_group_name_H-M_alt 'I a -3 d'
_space_group_IT_number 230
_space_group_name_Hall '-I 4bd 2c 3'
_cell_length_a 12.602
_cell_length_b 12.602
_cell_length_c 12.602
_cell_angle_alpha 90.00
_cell_angle_beta 90.00
_cell_angle_gamma 90.00
loop_
_atom_site_label
_atom_site_type_symbol
_atom_site_fract_x
_atom_site_fract_y
_atom_site_fract_z
K1 K 0.000 0.250 0.125
Zn1 Zn 0.000 0.000 0.000
Zn2 Zn 0.000 0.250 0.375
H1 H 0.035 0.143 0.956
```

## Properties
Calculated density = 3030 kg/m3
Total magnetization = 0.00 μB/f.u.
E = -2.49 eV per atom
Crystal system = cubic

---

Entry 12:
Below is an optimized crystal structure of KZnH3, with properties calculated at the GGA-PBE level.

Geometry as CIF:
```
data_KZnH3
_chemical_formula_sum 'K18 Zn18 H54'
_space_group_name_H-M_alt 'R -3'
_space_group_IT_number 148
_space_group_name_Hall '-R 3'
_cell_length_a 14.9854
_cell_length_b 14.9854
_cell_length_c 9.6618
_cell_angle_alpha 90.00
_cell_angle_beta 90.00
_cell_angle_gamma 120.00
loop_
_atom_site_label
_atom_site_type_symbol
_atom_site_fract_x
_atom_site_fract_y
_atom_site_fract_z
K1 K 0.0710 0.2359 0.1585
Zn1 Zn 0.0719 0.4804 0.4702
H1 H 0.0058 0.7204 0.2831
H2 H 0.0244 0.5547 0.3967
H3 H 0.0431 0.1526 0.8758
```

## Properties
Calculated density = 1711 kg/m3
Total magnetization = 0.00 μB/f.u.
E = -2.62 eV per atom
Crystal system = trigonal

---

Entry 13:
Below is an optimized crystal structure of K2ZnH4, with properties calculated at the GGA-PBE level.

Geometry as CIF:
```
data_K2ZnH4
_chemical_formula_sum 'K8 Zn4 H16'
_space_group_name_H-M_alt 'P n m a'
_space_group_IT_number 62
_cell_length_a 7.737
_cell_length_b 5.790
_cell_length_c 10.206
_cell_angle_alpha 90.00
_cell_angle_beta 90.00
_cell_angle_gamma 90.00
loop_
_space_group_symop_operation_xyz
'x,y,z'
'-x,-y,-z'
'-x+1/2,-y,z+1/2'
'x+1/2,y,-z+1/2'
'x+1/2,-y+1/2,-z+1/2'
'-x+1/2,y+1/2,z+1/2'
'-x,y+1/2,-z'
'x,-y+1/2,z'
loop_
_atom_site_label
_atom_site_type_symbol
_atom_site_fract_x
_atom_site_fract_y
_atom_site_fract_z
K1 K 0.013 0.250 0.187
K2 K 0.160 0.750 0.409
Zn1 Zn 0.237 0.750 0.082
H1 H 0.023 0.750 0.089
H2 H 0.187 0.016 0.655
H3 H 0.192 0.250 0.428
```

## Properties
Calculated density = 2145 kg/m3
Total magnetization = 0.00 μB/f.u.
E = -2.66 eV per atom
Crystal system = orthorhombic

---

Entry 14:
Below is an optimized crystal structure of KZr2H, with properties calculated at the GGA-PBE level.

Geometry as CIF:
```
data_KZr2H
_chemical_formula_sum 'K4 Zr8 H4'
_space_group_name_H-M_alt 'I -4 2 d'
_space_group_IT_number 122
_space_group_name_Hall 'I -4 2bw'
_cell_length_a 6.555
_cell_length_b 6.555
_cell_length_c 9.267
_cell_angle_alpha 90.00
_cell_angle_beta 90.00
_cell_angle_gamma 90.00
loop_
_atom_site_label
_atom_site_type_symbol
_atom_site_fract_x
_atom_site_fract_y
_atom_site_fract_z
K1 K 0.000 0.000 0.000
Zr1 Zr 0.004 0.750 0.625
H1 H 0.000 0.000 0.500
```

## Properties
Distance to the lowest polymorph of the same formula = 0.0 kJ/mol of atoms
Calculated density = 3712 kg/m3
Total magnetization = 0.00 μB/f.u.
E = -4.89 eV per atom
Crystal system = tetragonal

---

Entry 15:
Below is an optimized crystal structure of KZr2H, with properties calculated at the GGA-PBE level.

Geometry as CIF:
```
data_KZr2H
_chemical_formula_sum 'K4 Zr8 H4'
_space_group_name_H-M_alt 'F m -3 m'
_space_group_IT_number 225
_space_group_name_Hall '-F 4 2 3'
_cell_length_a 7.042
_cell_length_b 7.042
_cell_length_c 7.042
_cell_angle_alpha 90.00
_cell_angle_beta 90.00
_cell_angle_gamma 90.00
loop_
_atom_site_label
_atom_site_type_symbol
_atom_site_fract_x
_atom_site_fract_y
_atom_site_fract_z
K1 K 0.000 0.000 0.000
Zr1 Zr 0.250 0.250 0.250
H1 H 0.000 0.000 0.500
```

## Properties
Distance to the lowest polymorph of the same formula = 108.7 kJ/mol of atoms
Calculated density = 4232 kg/m3
Total magnetization = 0.00 μB/f.u.
E = -3.76 eV per atom
Crystal system = cubic

---

Entry 16:
Below is an optimized crystal structure of LaH, with properties calculated at the GGA-PBE level.

Geometry as CIF:
```
data_LaH
_chemical_formula_sum 'La2 H2'
_space_group_name_H-M_alt 'P 63 m c'
_space_group_IT_number 186
_space_group_name_Hall 'P 6c -2c'
_cell_length_a 3.9331
_cell_length_b 3.9331
_cell_length_c 6.2819
_cell_angle_alpha 90.00
_cell_angle_beta 90.00
_cell_angle_gamma 120.00
loop_
_atom_site_label
_atom_site_type_symbol
_atom_site_fract_x
_atom_site_fract_y
_atom_site_fract_z
La1 La 0.3333 0.6667 0.0000
H1 H 0.3333 0.6667 0.3855
```

## Properties
Calculated density = 5521 kg/m3
Total magnetization = 0.00 μB/f.u.
E = -4.56 eV per atom
Crystal system = hexagonal

---

Entry 17:
Below is an optimized crystal structure of La2H, with properties calculated at the GGA-PBE level.

Geometry as CIF:
```
data_La2H
_chemical_formula_sum 'La2 H1'
_space_group_name_H-M_alt 'P 4/m m m'
_space_group_IT_number 123
_space_group_name_Hall '-P 4 2'
_cell_length_a 3.716
_cell_length_b 3.716
_cell_length_c 5.290
_cell_angle_alpha 90.00
_cell_angle_beta 90.00
_cell_angle_gamma 90.00
loop_
_atom_site_label
_atom_site_type_symbol
_atom_site_fract_x
_atom_site_fract_y
_atom_site_fract_z
La1 La 0.000 0.000 0.000
La2 La 0.500 0.500 0.500
H1 H 0.000 0.000 0.500
```

## Properties
Calculated density = 6339 kg/m3
Total magnetization = 0.00 μB/f.u.
E = -4.71 eV per atom
Crystal system = tetragonal

---

Entry 18:
Below is an optimized crystal structure of LaH2, with properties calculated at the GGA-PBE level.

Geometry as CIF:
```
data_LaH2
_chemical_formula_sum 'La1 H2'
_space_group_name_H-M_alt 'P 4/m m m'
_space_group_IT_number 123
_space_group_name_Hall '-P 4 2'
_cell_length_a 3.653
_cell_length_b 3.653
_cell_length_c 3.285
_cell_angle_alpha 90.00
_cell_angle_beta 90.00
_cell_angle_gamma 90.00
loop_
_atom_site_label
_atom_site_type_symbol
_atom_site_fract_x
_atom_site_fract_y
_atom_site_fract_z
La1 La 0.000 0.000 0.000
H1 H 0.000 0.500 0.500
```

## Properties
Calculated density = 5338 kg/m3
Total magnetization = 0.00 μB/f.u.
E = -4.23 eV per atom
Crystal system = tetragonal

---

Entry 19:
Below is an optimized crystal structure of LaH2, with properties calculated at the GGA-PBE level.

Geometry as CIF:
```
data_LaH2
_chemical_formula_sum 'La2 H4'
_space_group_name_H-M_alt 'I -4 m 2'
_space_group_IT_number 119
_space_group_name_Hall 'I -4 -2'
_cell_length_a 3.880
_cell_length_b 3.880
_cell_length_c 5.471
_cell_angle_alpha 90.00
_cell_angle_beta 90.00
_cell_angle_gamma 90.00
loop_
_atom_site_label
_atom_site_type_symbol
_atom_site_fract_x
_atom_site_fract_y
_atom_site_fract_z
La1 La 0.000 0.000 0.000
H1 H 0.000 0.000 0.500
H2 H 0.000 0.500 0.750
```

## Properties
Calculated density = 5681 kg/m3
Total magnetization = 0.85 μB/f.u.
E = -4.34 eV per atom
Crystal system = tetragonal